NdTm6Al: optimized geometry, PBE.

## Properties
N(E_F) (states/eV/cell): 19.99
Space-group type: No. 12
Raw total energy (eV/cell): -68.71

The structure in extended XYZ format:
```
16
Lattice="6.478 0.000 0.000 0.000 11.244 0.000 -0.016 0.000 6.400" Properties=species:S:1:pos:R:3 pbc="T T T"
Nd 0.000 0.000 0.000
Nd 3.239 5.622 0.000
Tm 0.489 5.622 1.664
Tm 1.356 2.380 1.665
Tm 1.356 8.864 1.665
Tm 1.866 3.242 4.735
Tm 1.866 8.001 4.735
Tm 2.734 0.000 4.735
Tm 3.728 0.000 1.664
Tm 4.596 3.242 1.665
Tm 4.596 8.001 1.665
Tm 5.106 2.380 4.735
Tm 5.106 8.864 4.735
Tm 5.973 5.622 4.735
Al -0.008 0.000 3.200
Al 3.231 5.622 3.200
```